No. 1
DFT (GGA-PBE) results for TlCo5 after structural relaxation.

Properties
total DFT energy (no corrections) = -72.14 eV/cell
formation enthalpy at 0 K = 7.0 kcal/mol of atoms

a b c (Å): 3.734 11.023 3.722
angles (deg): 90.00 90.00 90.00
Fractional positions:
Tl  0.000  0.000  0.000
Tl  0.500  0.500  0.000
Co  0.000  0.180  0.500
Co  0.000  0.319  0.000
Co  0.000  0.500  0.500
Co  0.000  0.681  0.000
Co  0.000  0.820  0.500
Co  0.500  0.000  0.500
Co  0.500  0.181  0.000
Co  0.500  0.320  0.500
Co  0.500  0.680  0.500
Co  0.500  0.819  0.000

No. 2
DFT (GGA-PBE) results for TlCo after structural relaxation.

Properties
total DFT energy (no corrections) = -31.78 eV/cell
formation enthalpy at 0 K = 17.6 kcal/mol of atoms

a b c (Å): 5.483 5.483 5.278
angles (deg): 90.00 90.00 90.00
Fractional positions:
Tl  0.192  0.192  0.000
Tl  0.308  0.692  0.500
Tl  0.692  0.308  0.500
Tl  0.808  0.808  0.000
Co  0.147  0.147  0.500
Co  0.353  0.647  0.000
Co  0.647  0.353  0.000
Co  0.853  0.853  0.500

No. 3
DFT (GGA-PBE) results for Tl5Co4 after structural relaxation.

Properties
total DFT energy (no corrections) = -68.59 eV/cell
energy above the most stable polymorph in this dataset = 55 meV per atom
formation enthalpy at 0 K = 15.3 kcal/mol of atoms

a b c (Å): 8.018 8.018 5.858
angles (deg): 90.00 90.00 120.00
Fractional positions:
Tl  0.000  0.275  0.250
Tl  0.000  0.725  0.750
Tl  0.275  0.000  0.250
Tl  0.275  0.275  0.750
Tl  0.333  0.667  0.000
Tl  0.333  0.667  0.500
Tl  0.667  0.333  0.000
Tl  0.667  0.333  0.500
Tl  0.725  0.000  0.750
Tl  0.725  0.725  0.250
Co  0.000  0.000  0.000
Co  0.000  0.000  0.500
Co  0.000  0.392  0.750
Co  0.000  0.608  0.250
Co  0.392  0.000  0.750
Co  0.392  0.392  0.250
Co  0.608  0.000  0.250
Co  0.608  0.608  0.750

No. 4
DFT (GGA-PBE) results for Tl3Co4 after structural relaxation.

Properties
total DFT energy (no corrections) = -64.75 eV/cell
energy above the most stable polymorph in this dataset = 0 meV per atom
formation enthalpy at 0 K = 10.4 kcal/mol of atoms

a b c (Å): 3.090 3.090 25.987
angles (deg): 90.00 90.00 90.00
Fractional positions:
Tl  0.000  0.000  0.000
Tl  0.000  0.000  0.309
Tl  0.000  0.000  0.691
Tl  0.500  0.500  0.191
Tl  0.500  0.500  0.500
Tl  0.500  0.500  0.809
Co  0.000  0.000  0.112
Co  0.000  0.000  0.427
Co  0.000  0.000  0.573
Co  0.000  0.000  0.888
Co  0.500  0.500  0.073
Co  0.500  0.500  0.388
Co  0.500  0.500  0.612
Co  0.500  0.500  0.927